{"formula": "RbBaTl2", "functional": "meta-GGA SCAN", "state": "PBEsol geometry", "dos_ef_per_ev_atom": 0.759, "spacegroup": "Fm-3m", "formation_energy_mev_per_atom": -298, "cell": [[-2.871, -2.873, 4.358], [-3.268, -4.819, -1.258], [1.850, -5.390, 1.737]], "species": ["Tl", "Tl", "Rb", "Ba"], "frac_coords": [[0.250, 0.250, 0.250], [0.750, 0.750, 0.750], [0.000, 0.000, 0.000], [0.500, 0.500, 0.500]]}



{"formula": "ReH3Pb", "functional": "meta-GGA SCAN", "state": "PBEsol geometry", "dos_ef_per_ev_atom": 0.260, "total_energy_ev_per_cell": -154.15, "spacegroup": "Pm-3m", "cell": [[3.694, 0.000, 0.000], [0.000, 3.694, 0.000], [0.000, 0.000, 3.694]], "species": ["H", "H", "Re", "Pb", "H"], "frac_coords": [[0.000, 0.000, 0.500], [0.500, 0.000, 0.000], [0.000, 0.000, 0.000], [0.500, 0.500, 0.500], [0.000, 0.500, 0.000]]}



{"formula": "NiHg3Mo", "functional": "meta-GGA SCAN", "state": "PBEsol geometry", "dos_ef_per_ev_atom": 0.515, "spacegroup": "Pm-3m", "formation_energy_mev_per_atom": 903, "cell": [[4.800, 0.000, 0.000], [0.000, 4.800, 0.000], [0.000, 0.000, 4.800]], "species": ["Ni", "Mo", "Hg", "Hg", "Hg"], "frac_coords": [[0.000, 0.000, 0.000], [0.500, 0.500, 0.500], [0.500, 0.000, 0.000], [0.000, 0.000, 0.500], [0.000, 0.500, 0.000]]}



{"formula": "RbSb2Mo", "functional": "meta-GGA SCAN", "state": "PBEsol geometry", "raw_formation_energy_ev_per_atom": 0.204, "dos_ef_per_ev_atom": 0.546, "spacegroup": "I4_1/amd", "cell": [[-1.062, -1.739, -6.331], [6.261, -2.198, -0.446], [-4.860, -4.932, 5.664]], "species": ["Rb", "Mo", "Sb", "Sb", "Mo", "Sb", "Sb", "Rb"], "frac_coords": [[0.500, 0.500, 0.000], [0.000, 0.000, 0.000], [0.625, 0.875, 0.750], [0.125, 0.375, 0.250], [0.250, 0.750, 0.500], [0.125, 0.875, 0.750], [0.125, 0.875, 0.250], [0.750, 0.250, 0.500]]}



{"formula": "CaHgW2", "functional": "meta-GGA SCAN", "state": "PBEsol geometry", "dos_ef_per_ev_atom": 0.562, "spacegroup": "C2/m", "formation_energy_mev_per_atom": 773, "cell": [[-0.367, -2.632, -1.395], [-0.985, -2.085, 4.193], [-4.592, 3.044, -1.304]], "species": ["W", "Hg", "Ca", "W"], "frac_coords": [[0.735, 0.736, 0.469], [0.000, 0.500, 0.000], [0.500, 0.000, 0.000], [0.265, 0.264, 0.531]]}



{"formula": "MnBe4Tc", "functional": "meta-GGA SCAN", "state": "PBEsol geometry", "dos_ef_per_ev_atom": 0.429, "spacegroup": "F-43m", "formation_energy_mev_per_atom": -350, "cell": [[4.217, 0.000, 0.000], [2.108, 3.652, 0.000], [2.108, 1.217, 3.443]], "species": ["Tc", "Mn", "Be", "Be", "Be", "Be"], "frac_coords": [[0.000, 0.000, 0.000], [0.750, 0.750, 0.750], [0.876, 0.375, 0.375], [0.375, 0.876, 0.375], [0.375, 0.375, 0.375], [0.375, 0.375, 0.876]]}



{"formula": "KAgBr2", "functional": "meta-GGA SCAN", "state": "PBEsol geometry", "raw_formation_energy_ev_per_atom": -1.107, "dos_ef_per_ev_atom": 0.002, "spacegroup": "Pm", "cell": [[-1.751, 2.259, 3.000], [2.979, -2.567, 3.672], [3.882, 3.679, -0.578]], "species": ["Br", "K", "Br", "Ag"], "frac_coords": [[0.955, 0.500, 0.374], [0.499, 0.000, 0.377], [0.044, 0.000, 0.875], [0.001, 0.500, 0.874]]}



{"formula": "TaAlZn2", "functional": "meta-GGA SCAN", "state": "PBEsol geometry", "dos_ef_per_ev_atom": 0.430, "spacegroup": "Pm", "formation_energy_mev_per_atom": -45, "cell": [[2.822, 0.000, 0.045], [0.000, 4.212, 0.000], [-0.093, 0.000, 5.219]], "species": ["Zn", "Al", "Zn", "Ta"], "frac_coords": [[0.750, 0.500, 0.245], [0.748, 0.000, 0.512], [0.752, 0.000, 0.994], [0.250, 0.500, 0.749]]}



{"formula": "InSi2Au", "functional": "meta-GGA SCAN", "state": "PBEsol geometry", "raw_formation_energy_ev_per_atom": 0.489, "dos_ef_per_ev_atom": 0.330, "spacegroup": "I-4m2", "cell": [[4.311, 0.000, 0.000], [-2.155, 4.422, -0.003], [0.000, 2.104, 3.763]], "species": ["Si", "In", "Si", "Au"], "frac_coords": [[0.250, 0.500, 0.250], [0.750, 0.500, 0.750], [0.000, 0.000, 0.000], [0.500, 0.000, 0.500]]}



{"formula": "HfCo3Pd", "functional": "meta-GGA SCAN", "state": "PBEsol geometry", "dos_ef_per_ev_atom": 0.892, "spacegroup": "Pm-3m", "formation_energy_mev_per_atom": 1072, "cell": [[-1.167, 3.725, 2.018], [-1.960, -2.330, 3.168], [3.756, -0.059, 2.281]], "species": ["Co", "Pd", "Co", "Hf", "Co"], "frac_coords": [[0.000, 0.500, 0.000], [0.000, 0.000, 0.000], [0.000, 0.000, 0.500], [0.500, 0.500, 0.500], [0.500, 0.000, 0.000]]}



{"formula": "TcTe2Pt", "functional": "meta-GGA SCAN", "state": "PBEsol geometry", "raw_formation_energy_ev_per_atom": 0.666, "dos_ef_per_ev_atom": 0.981, "spacegroup": "Cmmm", "relative_energy_mev_per_atom": 522, "cell": [[3.075, 0.004, 0.000], [-1.342, 2.766, 0.000], [0.000, 0.000, 9.043]], "species": ["Pt", "Te", "Te", "Tc"], "frac_coords": [[0.500, 0.500, 0.500], [0.000, 0.000, 0.762], [0.000, 0.000, 0.238], [0.500, 0.500, 0.000]]}



{"formula": "HgSbI2Cl", "functional": "meta-GGA SCAN", "state": "PBEsol geometry", "raw_formation_energy_ev_per_atom": 0.546, "dos_ef_per_ev_atom": 0.638, "spacegroup": "P4/mmm", "cell": [[-3.094, -4.046, -1.120], [1.413, 0.449, -5.523], [4.381, -3.580, 0.830]], "species": ["Cl", "I", "Sb", "I", "Hg"], "frac_coords": [[0.000, 0.000, 0.000], [0.000, 0.500, 0.000], [0.500, 0.000, 0.000], [0.000, 0.000, 0.500], [0.500, 0.500, 0.500]]}



{"formula": "KReHgSe2", "functional": "meta-GGA SCAN", "state": "PBEsol geometry", "raw_formation_energy_ev_per_atom": 1.745, "dos_ef_per_ev_atom": 0.762, "spacegroup": "P4/mmm", "cell": [[-0.638, -4.580, 2.939], [1.826, -3.012, -4.298], [5.208, 0.479, 1.878]], "species": ["Se", "Hg", "Re", "K", "Se"], "frac_coords": [[0.000, 0.000, 0.500], [0.500, 0.000, 0.000], [0.500, 0.500, 0.500], [0.000, 0.000, 0.000], [0.000, 0.500, 0.000]]}



{"formula": "SiAgOs3", "functional": "meta-GGA SCAN", "state": "PBEsol geometry", "raw_formation_energy_ev_per_atom": 3.423, "dos_ef_per_ev_atom": 1.091, "spacegroup": "Pm-3m", "cell": [[4.665, 0.000, 0.000], [0.000, 4.665, 0.000], [0.000, 0.000, 4.665]], "species": ["Os", "Os", "Ag", "Si", "Os"], "frac_coords": [[0.500, 0.000, 0.000], [0.000, 0.000, 0.500], [0.000, 0.000, 0.000], [0.500, 0.500, 0.500], [0.000, 0.500, 0.000]]}



{"formula": "MoWSeS3", "functional": "meta-GGA SCAN", "state": "PBEsol geometry", "raw_formation_energy_ev_per_atom": -0.816, "spacegroup": "P3m1", "cell": [[3.171, 0.000, 0.000], [-1.586, 2.746, 0.000], [0.000, 0.000, 25.309]], "species": ["Mo", "S", "S", "Se", "W", "S", "S", "Mo", "S", "S", "W", "Se"], "frac_coords": [[0.667, 0.333, 0.746], [0.667, 0.333, 0.438], [0.000, 0.000, 0.191], [0.667, 0.333, 0.066], [0.667, 0.333, 0.253], [0.000, 0.000, 0.685], [0.000, 0.000, 0.807], [0.000, 0.000, 0.998], [0.667, 0.333, 0.561], [0.000, 0.000, 0.314], [0.000, 0.000, 0.500], [0.667, 0.333, 0.931]]}



{"formula": "Cr2C", "functional": "meta-GGA SCAN", "state": "PBEsol geometry", "dos_ef_per_ev_atom": 0.816, "spacegroup": "P-31m", "formation_energy_mev_per_atom": -42, "cell": [[-2.041, -3.342, 1.827], [1.262, -2.788, -3.690], [2.861, 0.346, 3.830]], "species": ["Cr", "Cr", "Cr", "C", "Cr", "C", "Cr", "C", "Cr"], "frac_coords": [[0.245, 0.000, 0.662], [0.245, 0.338, 0.338], [0.755, 0.000, 0.338], [0.000, 0.000, 0.000], [0.755, 0.662, 0.662], [0.500, 0.333, 0.667], [0.245, 0.662, 0.000], [0.500, 0.667, 0.333], [0.755, 0.338, 0.000]]}



{"formula": "Y2Ir2O7", "functional": "meta-GGA SCAN", "state": "PBEsol geometry", "raw_formation_energy_ev_per_atom": -2.329, "dos_ef_per_ev_atom": 0.237, "spacegroup": "Fd-3m", "cell": [[7.159, 0.000, 0.000], [3.579, 6.200, 0.000], [3.579, 2.067, 5.845]], "species": ["O", "Y", "Y", "O", "Y", "Ir", "O", "O", "O", "Ir", "Ir", "O", "O", "Y", "O", "O", "O", "O", "O", "O", "Ir", "O"], "frac_coords": [[0.213, 0.787, 0.213], [0.625, 0.625, 0.125], [0.625, 0.625, 0.625], [0.463, 0.037, 0.463], [0.125, 0.625, 0.625], [0.125, 0.625, 0.125], [0.213, 0.787, 0.787], [0.463, 0.463, 0.037], [0.037, 0.463, 0.037], [0.625, 0.125, 0.125], [0.125, 0.125, 0.125], [0.463, 0.037, 0.037], [0.213, 0.213, 0.787], [0.625, 0.125, 0.625], [0.750, 0.750, 0.750], [0.787, 0.213, 0.213], [0.787, 0.213, 0.787], [0.037, 0.463, 0.463], [0.500, 0.500, 0.500], [0.787, 0.787, 0.213], [0.125, 0.125, 0.625], [0.037, 0.037, 0.463]]}



{"formula": "CsSnI2O", "functional": "meta-GGA SCAN", "state": "PBEsol geometry", "raw_formation_energy_ev_per_atom": 0.165, "dos_ef_per_ev_atom": 0.160, "spacegroup": "P4/mmm", "cell": [[-2.368, -2.788, -2.137], [5.543, -2.961, -2.280], [0.007, -4.071, 5.303]], "species": ["I", "I", "O", "Sn", "Cs"], "frac_coords": [[0.000, 0.500, 0.000], [0.000, 0.000, 0.500], [0.500, 0.000, 0.000], [0.500, 0.500, 0.500], [0.000, 0.000, 0.000]]}



{"formula": "ZrSiAg2", "functional": "meta-GGA SCAN", "state": "PBEsol geometry", "raw_formation_energy_ev_per_atom": -0.062, "dos_ef_per_ev_atom": 0.490, "spacegroup": "Cmm2", "cell": [[-1.210, -2.321, -1.433], [2.203, 0.412, -1.970], [4.472, -4.799, 3.997]], "species": ["Ag", "Zr", "Si", "Ag"], "frac_coords": [[0.000, 0.000, 0.990], [0.500, 0.500, 0.270], [0.000, 0.000, 0.510], [0.500, 0.500, 0.730]]}



{"formula": "BaReSeBr2", "functional": "meta-GGA SCAN", "state": "PBEsol geometry", "raw_formation_energy_ev_per_atom": 0.526, "dos_ef_per_ev_atom": 0.877, "spacegroup": "P4/mmm", "cell": [[-5.018, 1.193, -3.120], [-3.201, -3.324, 3.877], [-0.974, 4.994, 3.477]], "species": ["Re", "Br", "Ba", "Br", "Se"], "frac_coords": [[0.500, 0.500, 0.500], [0.000, 0.500, 0.000], [0.000, 0.000, 0.000], [0.500, 0.000, 0.000], [0.000, 0.000, 0.500]]}